SrIBr2, PBEsol geometry, DFT meta-GGA SCAN; formation energy from raw total energies = -1467 meV/atom; E_tot = -103.8 eV for the cell shown; space-group type = R-3m (166); crystal system = trigonal; DOS at the Fermi energy = 1.62 states/eV per cell
1.0
-0.388 -4.145 -1.058
1.824 -3.022 2.448
-9.266 -3.104 6.839
Br I Sr
2 1 1
Direct
0.119 0.119 0.644 Br
0.881 0.881 0.356 Br
0.000 0.000 0.000 I
0.500 0.500 0.500 Sr